# AlOs2W | Alexandria | GGA-PBEsol | optimized geometry
# formation energy from the elements: -0.2293 eV/atom
# space-group type: No. 123
# uncorrected energy: -43.248 eV for the cell shown
# M_tot: 0.0 Bohr magnetons per cell
# volume: 56 Å³/cell
data_AlOs2W
_symmetry_space_group_name_H-M 'P 1'
_symmetry_Int_Tables_number 1
_symmetry_space_group_name_Hall 'P 1'
_cell_length_a 2.989
_cell_length_b 2.989
_cell_length_c 6.321
_cell_angle_alpha 90.00
_cell_angle_beta 90.00
_cell_angle_gamma 90.00
loop_
_atom_site_label
_atom_site_type_symbol
_atom_site_fract_x
_atom_site_fract_y
_atom_site_fract_z
Al1 Al 0.000 0.000 0.000
Os1 Os 0.500 0.500 0.238
Os2 Os 0.500 0.500 0.762
W1 W 0.000 0.000 0.500



# SrLiHfH2 | Alexandria | GGA-PBEsol | optimized geometry
# space-group type: No. 123
# uncorrected energy: -17.524 eV for the cell shown
# M_tot: 0.0 Bohr magnetons per cell
# volume: 100 Å³/cell
data_SrLiHfH2
_symmetry_space_group_name_H-M 'P 1'
_symmetry_Int_Tables_number 1
_symmetry_space_group_name_Hall 'P 1'
_cell_length_a 4.028
_cell_length_b 4.028
_cell_length_c 6.170
_cell_angle_alpha 90.00
_cell_angle_beta 90.00
_cell_angle_gamma 90.00
loop_
_atom_site_label
_atom_site_type_symbol
_atom_site_fract_x
_atom_site_fract_y
_atom_site_fract_z
Sr1 Sr 0.000 0.000 0.000
Li1 Li 0.500 0.500 0.000
Hf1 Hf 0.000 0.000 0.500
H1 H 0.000 0.500 0.500
H2 H 0.500 0.000 0.500



# FeGeSb2I | Alexandria | GGA-PBEsol | optimized geometry
# space-group type: No. 123
# uncorrected energy: -22.096 eV for the cell shown
# M_tot: 0.0 Bohr magnetons per cell
# ΔE_f (raw): 0.54 eV/atom
# volume: 123 Å³/cell
data_FeGeSb2I
_symmetry_space_group_name_H-M 'P 1'
_symmetry_Int_Tables_number 1
_symmetry_space_group_name_Hall 'P 1'
_cell_length_a 4.755
_cell_length_b 4.755
_cell_length_c 5.452
_cell_angle_alpha 90.00
_cell_angle_beta 90.00
_cell_angle_gamma 90.00
loop_
_atom_site_label
_atom_site_type_symbol
_atom_site_fract_x
_atom_site_fract_y
_atom_site_fract_z
Fe1 Fe 0.000 0.000 0.000
Ge1 Ge 0.500 0.500 0.500
Sb1 Sb 0.000 0.500 0.000
Sb2 Sb 0.500 0.000 0.000
I1 I 0.000 0.000 0.500



# TlPRu3 | Alexandria | GGA-PBEsol | optimized geometry
# formation energy from the elements: 2.7719 eV/atom
# space-group type: No. 221
# uncorrected energy: -25.079 eV for the cell shown
# M_tot: 5.8 Bohr magnetons per cell
# volume: 116 Å³/cell
data_TlPRu3
_symmetry_space_group_name_H-M 'P 1'
_symmetry_Int_Tables_number 1
_symmetry_space_group_name_Hall 'P 1'
_cell_length_a 4.878
_cell_length_b 4.878
_cell_length_c 4.878
_cell_angle_alpha 90.00
_cell_angle_beta 90.00
_cell_angle_gamma 90.00
loop_
_atom_site_label
_atom_site_type_symbol
_atom_site_fract_x
_atom_site_fract_y
_atom_site_fract_z
Tl1 Tl 0.000 0.000 0.000
P1 P 0.500 0.500 0.500
Ru1 Ru 0.000 0.000 0.500
Ru2 Ru 0.000 0.500 0.000
Ru3 Ru 0.500 0.000 0.000



# Zr2AlW | Alexandria | GGA-PBEsol | optimized geometry
# formation energy from the elements: 0.0049 eV/atom
# space-group type: No. 8
# uncorrected energy: -72.118 eV for the cell shown
# M_tot: 0.0 Bohr magnetons per cell
# volume: 149 Å³/cell
data_Zr2AlW
_symmetry_space_group_name_H-M 'P 1'
_symmetry_Int_Tables_number 1
_symmetry_space_group_name_Hall 'P 1'
_cell_length_a 9.881
_cell_length_b 2.990
_cell_length_c 5.134
_cell_angle_alpha 90.00
_cell_angle_beta 101.65
_cell_angle_gamma 90.00
loop_
_atom_site_label
_atom_site_type_symbol
_atom_site_fract_x
_atom_site_fract_y
_atom_site_fract_z
Zr1 Zr 0.000 0.000 0.000
Zr2 Zr 0.230 0.000 0.717
Zr3 Zr 0.500 0.500 0.000
Zr4 Zr 0.730 0.500 0.717
Al1 Al 0.251 0.500 0.234
Al2 Al 0.751 0.000 0.234
W1 W 0.476 0.000 0.468
W2 W 0.976 0.500 0.468



# SeBr2 | Alexandria | GGA-PBEsol | optimized geometry
# space-group type: No. 58
# uncorrected energy: -15.219 eV for the cell shown
# energy above the lowest structure with this stoichiometry: 0 meV/atom
# M_tot: 0.0 Bohr magnetons per cell
# ΔE_f (raw): -0.01 eV/atom
# volume: 210 Å³/cell
data_SeBr2
_symmetry_space_group_name_H-M 'P 1'
_symmetry_Int_Tables_number 1
_symmetry_space_group_name_Hall 'P 1'
_cell_length_a 7.317
_cell_length_b 7.942
_cell_length_c 3.606
_cell_angle_alpha 90.00
_cell_angle_beta 90.00
_cell_angle_gamma 90.00
loop_
_atom_site_label
_atom_site_type_symbol
_atom_site_fract_x
_atom_site_fract_y
_atom_site_fract_z
Se1 Se 0.000 0.000 0.000
Se2 Se 0.500 0.500 0.500
Br1 Br 0.174 0.172 0.500
Br2 Br 0.326 0.672 0.000
Br3 Br 0.674 0.328 0.000
Br4 Br 0.826 0.828 0.500



# Co2RhW | Alexandria | GGA-PBEsol | optimized geometry
# formation energy from the elements: 0.0950 eV/atom
# space-group type: No. 99
# uncorrected energy: -37.040 eV for the cell shown
# energy above the lowest structure with this stoichiometry: 207 meV/atom
# M_tot: 1.5 Bohr magnetons per cell
# volume: 50 Å³/cell
data_Co2RhW
_symmetry_space_group_name_H-M 'P 1'
_symmetry_Int_Tables_number 1
_symmetry_space_group_name_Hall 'P 1'
_cell_length_a 3.068
_cell_length_b 3.068
_cell_length_c 5.325
_cell_angle_alpha 90.00
_cell_angle_beta 90.00
_cell_angle_gamma 90.00
loop_
_atom_site_label
_atom_site_type_symbol
_atom_site_fract_x
_atom_site_fract_y
_atom_site_fract_z
Co1 Co 0.000 0.000 0.000
Co2 Co 0.500 0.500 0.203
Rh1 Rh 0.000 0.000 0.477
W1 W 0.500 0.500 0.759



# SrTa2Pt | Alexandria | GGA-PBEsol | optimized geometry
# formation energy from the elements: 0.6268 eV/atom
# space-group type: No. 225
# uncorrected energy: -125.595 eV for the cell shown
# energy above the lowest structure with this stoichiometry: 277 meV/atom
# M_tot: 0.0 Bohr magnetons per cell
# volume: 291 Å³/cell
data_SrTa2Pt
_symmetry_space_group_name_H-M 'P 1'
_symmetry_Int_Tables_number 1
_symmetry_space_group_name_Hall 'P 1'
_cell_length_a 6.630
_cell_length_b 6.630
_cell_length_c 6.630
_cell_angle_alpha 90.00
_cell_angle_beta 90.00
_cell_angle_gamma 90.00
loop_
_atom_site_label
_atom_site_type_symbol
_atom_site_fract_x
_atom_site_fract_y
_atom_site_fract_z
Sr1 Sr 0.000 0.000 0.000
Sr2 Sr 0.000 0.500 0.500
Sr3 Sr 0.500 0.000 0.500
Sr4 Sr 0.500 0.500 0.000
Ta1 Ta 0.250 0.250 0.250
Ta2 Ta 0.250 0.250 0.750
Ta3 Ta 0.250 0.750 0.250
Ta4 Ta 0.250 0.750 0.750
Ta5 Ta 0.750 0.250 0.250
Ta6 Ta 0.750 0.250 0.750
Ta7 Ta 0.750 0.750 0.250
Ta8 Ta 0.750 0.750 0.750
Pt1 Pt 0.000 0.000 0.500
Pt2 Pt 0.000 0.500 0.000
Pt3 Pt 0.500 0.000 0.000
Pt4 Pt 0.500 0.500 0.500



# Mo2RhSe | Alexandria | GGA-PBEsol | optimized geometry
# space-group type: No. 123
# uncorrected energy: -35.726 eV for the cell shown
# M_tot: 0.0 Bohr magnetons per cell
# ΔE_f (raw): -0.05 eV/atom
# volume: 58 Å³/cell
data_Mo2RhSe
_symmetry_space_group_name_H-M 'P 1'
_symmetry_Int_Tables_number 1
_symmetry_space_group_name_Hall 'P 1'
_cell_length_a 2.942
_cell_length_b 2.942
_cell_length_c 6.714
_cell_angle_alpha 90.00
_cell_angle_beta 90.00
_cell_angle_gamma 90.00
loop_
_atom_site_label
_atom_site_type_symbol
_atom_site_fract_x
_atom_site_fract_y
_atom_site_fract_z
Mo1 Mo 0.000 0.000 0.236
Mo2 Mo 0.000 0.000 0.764
Rh1 Rh 0.500 0.500 0.500
Se1 Se 0.500 0.500 0.000



# BaScMnSn2 | Alexandria | GGA-PBEsol | optimized geometry
# formation energy from the elements: 0.3041 eV/atom
# space-group type: No. 123
# uncorrected energy: -25.513 eV for the cell shown
# M_tot: 3.5 Bohr magnetons per cell
# volume: 137 Å³/cell
data_BaScMnSn2
_symmetry_space_group_name_H-M 'P 1'
_symmetry_Int_Tables_number 1
_symmetry_space_group_name_Hall 'P 1'
_cell_length_a 5.080
_cell_length_b 5.080
_cell_length_c 5.325
_cell_angle_alpha 90.00
_cell_angle_beta 90.00
_cell_angle_gamma 90.00
loop_
_atom_site_label
_atom_site_type_symbol
_atom_site_fract_x
_atom_site_fract_y
_atom_site_fract_z
Ba1 Ba 0.000 0.000 0.000
Sc1 Sc 0.500 0.500 0.000
Mn1 Mn 0.000 0.000 0.500
Sn1 Sn 0.000 0.500 0.500
Sn2 Sn 0.500 0.000 0.500